Below is a geometry-optimized SrCoNi2 structure, with properties calculated at the GGA-PBE level.

Energy relative to the elements, eV/atom: 0.62
Final energy, eV/atom: -4.46
Space group: Cmmm

Cell and atoms, written as POSCAR:
```
SrCoNi2
1.0
2.863 -3.756 0.000
2.863 3.756 0.000
0.000 0.000 2.911
Sr Co Ni
1 1 2
Direct
0.000 0.000 0.000
0.500 0.500 0.000
0.000 0.500 0.500
0.500 0.000 0.500
```